Computed, not measured: crystalline U2HCl6 at its relaxed geometry at the PBE-GGA level of DFT.

Lattice parameters (Å, degrees): 7.061 7.061 9.513 68.21 68.21 60.00
Last column: magnetic moment on the atom in μB.
Sites, in units of the cell vectors:
U: 0.717 0.717 0.848  2.87
U: 0.616 0.616 0.152  2.87
H: 0.333 0.333 0.000  0.38
Cl: 0.769 0.450 0.710  -0.03
Cl: 0.070 0.769 0.710  -0.03
Cl: 0.450 0.070 0.710  -0.03
Cl: 0.258 0.573 0.291  -0.03
Cl: 0.878 0.258 0.291  -0.03
Cl: 0.573 0.878 0.291  -0.03

Computed, not measured: crystalline NpInGaCu at its relaxed geometry at the PBE-GGA level of DFT.

Lattice parameters (Å, degrees): 4.830 4.830 4.830 60.00 60.00 60.00
Last column: magnetic moment on the atom in μB.
Sites, in units of the cell vectors:
Np: 0.000 0.000 0.000  3.92
Cu: 0.750 0.750 0.750  0.01
Ga: 0.250 0.250 0.250  0.05
In: 0.500 0.500 0.500  0.00

Results
E_form = 0.047 eV per atom

Computed, not measured: crystalline AlCu2CSe at its relaxed geometry at the PBE-GGA level of DFT.

Lattice parameters (Å, degrees): 4.597 4.791 4.597 90.00 90.00 90.00
Last column: magnetic moment on the atom in μB.
Sites, in units of the cell vectors:
C: 0.500 0.500 0.500  0.78
Cu: 0.000 0.000 0.500  0.02
Cu: 0.500 0.000 0.000  -0.01
Se: 0.000 0.500 0.000  -0.07
Al: 0.000 0.000 0.000  0.01

Results
energy relative to the elements, uncorrected = 1.8639 eV/atom
excess energy over the best structure of this formula in the dataset = 1574 meV/atom

Computed, not measured: crystalline Ti2ZnMo at its relaxed geometry at the PBE-GGA level of DFT.

Lattice parameters (Å, degrees): 3.238 3.238 6.067 90.00 90.00 90.00
Sites, in units of the cell vectors:
Mo: 0.500 0.500 0.000
Zn: 0.500 0.500 0.500
Ti: 0.000 0.000 0.763
Ti: 0.000 0.000 0.237

Results
E_form = -0.205 eV per atom

In the order shown, the computed volume values come out to 371 80 101 64 Å³/cell.
In the order shown, the computed raw total energy values come out to -44.49 -22.62 -15.32 -28.71 eV/cell.
In the order shown, the computed theoretical density values come out to 3.086 10.112 4.018 6.710 g/cm³.